## 1
The following is a DFT calculation (PBE) of a relaxed structure of YFe2Os.

Cell: 5.2958 6.5979 4.2680 Å, 90.00 90.00 90.00°
Space group Cmmm (No. 65)
Symmetry-distinct sites (fractional):
Y  0.0000  0.0000  0.0000
Fe  0.0000  0.3143  0.5000
Os  0.0000  0.5000  0.0000

=====

## 2
The following is a DFT calculation (PBE) of a relaxed structure of YFe2Os.

Cell: 2.8281 4.1150 5.7501 Å, 90.00 103.96 90.00°
Space group P2/m (No. 10)
Symmetry-distinct sites (fractional):
Y  0.0000  0.0000  0.0000
Fe  0.4463  0.5000  0.6905
Os  0.0000  0.0000  0.5000

=====

## 3
The following is a DFT calculation (PBE) of a relaxed structure of YFe2Os.

Cell: 2.8651 2.8651 26.8337 Å, 90.00 90.00 120.00°
Space group R3m (No. 160, hexagonal axes)
Symmetry-distinct sites (fractional):
Y  0.0000  0.0000  0.0000
Fe  0.0000  0.0000  0.4946
Fe  0.0000  0.0000  0.7611
Os  0.0000  0.0000  0.2349

=====

Most stable to least stable, the ends of the list are 2 and 1.

=====

## 1
The following is a DFT calculation (PBE) of a relaxed structure of YFe2Os.

Cell: 2.8524 2.8524 27.3692 Å, 90.00 90.00 120.00°
Space group R-3m (No. 166, hexagonal axes)
Symmetry-distinct sites (fractional):
Y  0.0000  0.0000  0.0000
Fe  0.0000  0.0000  0.2403
Os  0.0000  0.0000  0.5000

=====

## 2
The following is a DFT calculation (PBE) of a relaxed structure of YFe2Os.

Cell: 9.2011 3.0219 4.9265 Å, 90.00 107.90 90.00°
Space group Cm (No. 8)
Symmetry-distinct sites (fractional):
Y  0.0000  0.0000  0.0000
Fe  0.2767  0.5000  0.3044
Fe  0.4948  0.0000  0.4996
Os  0.2240  0.0000  0.6626

=====

## 3
The following is a DFT calculation (PBE) of a relaxed structure of YFe2Os.

Cell: 5.4902 8.5266 2.7922 Å, 90.00 107.19 90.00°
Space group C2/m (No. 12)
Symmetry-distinct sites (fractional):
Y  0.0000  0.0000  0.0000
Fe  0.2500  0.2500  0.5000
Os  0.0000  0.5000  0.0000

=====

Most stable to least stable, the ends of the list are 2 and 1.

=====

## 1
The following is a DFT calculation (PBE) of a relaxed structure of YFeOs3.

Cell: 4.7970 4.7970 4.7970 Å, 90.00 90.00 90.00°
Space group Pm-3m (No. 221)
Symmetry-distinct sites (fractional):
Y  0.0000  0.0000  0.0000
Fe  0.5000  0.5000  0.5000
Os  0.0000  0.0000  0.5000

=====

## 2
The following is a DFT calculation (PBE) of a relaxed structure of YFeOs3.

Cell: 4.4959 4.4959 4.4959 Å, 90.00 90.00 90.00°
Space group Pm-3m (No. 221)
Symmetry-distinct sites (fractional):
Y  0.0000  0.0000  0.0000
Fe  0.5000  0.5000  0.5000
Os  0.0000  0.5000  0.5000

=====

Most stable to least stable, the ends of the list are 2 and 1.

=====

## 1
The following is a DFT calculation (PBE) of a relaxed structure of ZnFeOs3.

Cell: 4.4019 4.4019 4.4019 Å, 90.00 90.00 90.00°
Space group Pm-3m (No. 221)
Symmetry-distinct sites (fractional):
Zn  0.0000  0.0000  0.0000
Fe  0.5000  0.5000  0.5000
Os  0.0000  0.0000  0.5000

=====

## 2
The following is a DFT calculation (PBE) of a relaxed structure of ZnFeOs3.

Cell: 4.4099 4.4099 4.4099 Å, 90.00 90.00 90.00°
Space group Pm-3m (No. 221)
Symmetry-distinct sites (fractional):
Zn  0.0000  0.0000  0.0000
Fe  0.5000  0.5000  0.5000
Os  0.0000  0.5000  0.5000

=====

Most stable to least stable, the ends of the list are 2 and 1.

=====

## 1
The following is a DFT calculation (PBE) of a relaxed structure of FeP3.

Cell: 3.4629 3.4629 18.4946 Å, 90.00 90.00 90.00°
Space group I4/mmm (No. 139)
Symmetry-distinct sites (fractional):
Fe  0.0000  0.0000  0.1766
P  0.0000  0.0000  0.3947
P  0.0000  0.5000  0.0000
P  0.0000  0.5000  0.2500

=====

## 2
The following is a DFT calculation (PBE) of a relaxed structure of FeP3.

Cell: 3.1933 6.8010 5.2298 Å, 90.00 90.00 90.00°
Space group Pmmn (No. 59, origin choice 2)
Symmetry-distinct sites (fractional):
Fe  0.2500  0.2500  0.1275
P  0.2500  0.0062  0.8235
P  0.2500  0.7500  0.5466

=====

Most stable to least stable, the ends of the list are 2 and 1.

=====

## 1
The following is a DFT calculation (PBE) of a relaxed structure of FeP3.

Cell: 3.7651 3.7651 3.7651 Å, 90.00 90.00 90.00°
Space group Pm-3m (No. 221)
Symmetry-distinct sites (fractional):
Fe  0.0000  0.0000  0.0000
P  0.0000  0.5000  0.5000

=====

## 2
The following is a DFT calculation (PBE) of a relaxed structure of FeP3.

Cell: 4.4151 9.0231 2.6680 Å, 90.00 90.00 90.00°
Space group Cmmm (No. 65)
Symmetry-distinct sites (fractional):
Fe  0.0000  0.0000  0.0000
P  0.0000  0.2033  0.5000
P  0.0000  0.5000  0.0000

=====

Most stable to least stable, the ends of the list are 2 and 1.